# PmSiRh

Crystalline PmSiRh at its relaxed geometry (PBE, Alexandria).

Results
- Offset from the most stable computed form: 456 meV/atom
- Uncorrected energy: -76.20 eV/cell

Unit cell a=6.3961 b=6.3961 c=6.3961 alpha=90.00 beta=90.00 gamma=90.00
Space group F-43m (No. 216)
Asymmetric unit:
Pm  0.0000  0.0000  0.0000 [4 per cell]
Si  0.0000  0.0000  0.5000 [4 per cell]
Rh  0.2500  0.2500  0.2500 [4 per cell]

=====

# CaMnAsSe2

Crystalline CaMnAsSe2 at its relaxed geometry (PBE, Alexandria).

Results
- Offset from the most stable computed form: 0 meV/atom
- Uncorrected energy: -25.42 eV/cell

Unit cell a=5.0323 b=5.0323 c=4.6218 alpha=90.00 beta=90.00 gamma=90.00
Space group P4/mmm (No. 123)
Asymmetric unit:
Ca  0.0000  0.0000  0.0000 [1 per cell]
Mn  0.5000  0.5000  0.5000 [1 per cell]
As  0.5000  0.5000  0.0000 [1 per cell]
Se  0.0000  0.5000  0.5000 [2 per cell]